VASP calculation (SCAN) on a PBEsol-optimized structure of Sc2MnRe.

Lattice parameters (Å, degrees): 5.1099 5.1099 5.1099 144.09 126.62 66.01
With the nearest neighbours (Å) after each atom.
Element x y z (fractional)
Sc  0.2364  0.2364  0.0000  2 Mn 2.57, 2 Re 2.75, 4 Sc 2.79
Sc  0.7636  0.7636  0.0000  2 Mn 2.57, 2 Re 2.75, 4 Sc 2.79
Mn  0.0000  0.5000  0.5000  4 Sc 2.57, 4 Re 2.78
Re  0.5000  0.0000  0.5000  8 Sc 2.75-3.06, 4 Mn 2.78

Properties
The value obtained for the density of states at the Fermi level is 3.5 states/eV/f.u. As for the magnetic moment: 0.000 μB per cell. The calculation puts the formation energy at 234 meV/atom.